## Th2PaTa (PBE)

Data for a geometry-optimized Th2PaTa structure.

M_tot: 0.0 μB/f.u.
Formation energy from the elements: 0.608 eV/atom
Uncorrected energy: -8.4390 eV/atom

Lattice parameters (Å, degrees): 3.2422 3.2422 35.3950 90.00 90.00 120.00
Space group R-3m (No. 166, hexagonal axes)
Unique sites:
Th  0.0000  0.0000  0.0831 x6
Pa  0.0000  0.0000  0.5000 x3
Ta  0.0000  0.0000  0.0000 x3